# 1
Compound: RbVHgS4
Source: Alexandria via LeMat-Bulk
Functional: PBE
Structure: optimized geometry

Geometry as POSCAR:
```
RbVHgS4
1.0
-4.132 1.230 4.174
1.942 -6.053 3.706
8.140 4.200 2.593
S Hg Rb V
8 2 2 2
direct
0.283 0.750 0.102
0.717 0.250 0.898
0.941 0.506 0.278
0.428 0.750 0.502
0.941 0.994 0.278
0.572 0.250 0.498
0.059 0.494 0.722
0.059 0.006 0.722
0.739 0.750 0.393
0.261 0.250 0.607
0.672 0.750 0.884
0.328 0.250 0.116
0.150 0.750 0.284
0.850 0.250 0.716
```

Computed properties:
- density (Mg/m³) = 3.86
- space group = No. 11
- electronic total energy (eV per atom) = -4.528
- V (Å³/f.u.) = 200
- raw formation energy (meV/atom) = -685.8

# 2
Compound: MgV
Source: Alexandria via LeMat-Bulk
Functional: PBE
Structure: optimized geometry

Geometry as POSCAR:
```
MgV
1.0
-2.680 -3.920 3.082
0.207 -3.583 -4.378
7.516 -2.957 2.776
V Mg
8 8
direct
0.697 0.895 0.571
0.105 0.303 0.929
0.395 0.803 0.321
0.197 0.605 0.179
0.803 0.395 0.679
0.605 0.197 0.821
0.895 0.697 0.429
0.303 0.105 0.071
0.790 0.974 0.133
0.710 0.474 0.117
0.026 0.210 0.367
0.474 0.710 0.883
0.974 0.790 0.867
0.526 0.290 0.383
0.210 0.026 0.633
0.290 0.526 0.617
```

Computed properties:
- density (Mg/m³) = 3.65
- space group = No. 92
- electronic total energy (eV per atom) = -4.953
- V (Å³/f.u.) = 34
- energy relative to the elements (meV per atom) = 404
- D(E_F) (states/eV/cell) = 12.300

# 3
Compound: Be2AlCl
Source: Alexandria via LeMat-Bulk
Functional: PBE
Structure: optimized geometry

Geometry as POSCAR:
```
Be2AlCl
1.0
2.882 0.000 0.000
0.000 3.642 0.000
0.000 0.000 5.897
Cl Be Al
1 2 1
direct
0.500 0.500 0.250
0.000 0.000 0.927
0.000 0.000 0.573
0.500 0.500 0.750
```

Computed properties:
- density (Mg/m³) = 2.16
- space group = No. 47
- electronic total energy (eV per atom) = -2.731
- polymorph energy (0 for the lowest one) (meV/atom) = 557
- V (Å³/f.u.) = 62
- raw formation energy (meV/atom) = 529.3
- D(E_F) (states/eV/cell) = 1.015

# 4
Compound: LiSnB
Source: Alexandria via LeMat-Bulk
Functional: PBE
Structure: optimized geometry

Geometry as POSCAR:
```
LiSnB
1.0
-5.166 -3.566 -10.619
1.182 0.220 -4.416
1.241 -2.105 3.870
Sn Li B
2 2 2
direct
0.919 0.045 0.955
0.682 0.025 0.975
0.116 0.552 0.448
0.359 0.029 0.971
0.388 0.258 0.742
0.360 0.762 0.238
```

Computed properties:
- density (Mg/m³) = 4.17
- space group = No. 8
- electronic total energy (eV per atom) = -4.185
- polymorph energy (0 for the lowest one) (meV/atom) = 103
- V (Å³/f.u.) = 54
- energy relative to the elements (meV per atom) = 13
- D(E_F) (states/eV/cell) = 1.752

# 5
Compound: NaHf2Sc
Source: Alexandria via LeMat-Bulk
Functional: PBE
Structure: optimized geometry

Geometry as POSCAR:
```
NaHf2Sc
1.0
-4.166 -2.431 1.599
-4.566 1.340 -1.784
-2.504 -3.097 -3.157
Sc Hf Na
1 2 1
direct
0.500 0.500 0.500
0.750 0.750 0.750
0.250 0.250 0.250
0.000 0.000 0.000
```

Computed properties:
- density (Mg/m³) = 7.60
- space group = No. 225
- electronic total energy (eV per atom) = -6.196
- polymorph energy (0 for the lowest one) (meV/atom) = 0
- V (Å³/f.u.) = 93
- energy relative to the elements (meV per atom) = 693
- D(E_F) (states/eV/cell) = 6.286

# 6
Compound: Be2InCl
Source: Alexandria via LeMat-Bulk
Functional: PBE
Structure: optimized geometry

Geometry as POSCAR:
```
Be2InCl
1.0
5.136 -0.071 0.034
0.551 5.107 -0.034
-1.445 -4.097 2.741
Be Cl In
2 1 1
direct
0.022 0.022 0.000
0.478 0.478 0.000
0.250 0.750 0.500
0.750 0.250 0.500
```

Computed properties:
- density (Mg/m³) = 3.91
- space group = No. 71
- electronic total energy (eV per atom) = -2.488
- polymorph energy (0 for the lowest one) (meV/atom) = 327
- V (Å³/f.u.) = 71
- raw formation energy (meV/atom) = 520.9
- D(E_F) (states/eV/cell) = 1.463

# 7
Compound: NaSnB
Source: Alexandria via LeMat-Bulk
Functional: PBE
Structure: optimized geometry

Geometry as POSCAR:
```
NaSnB
1.0
9.108 0.000 -0.006
3.623 1.583 -5.041
-3.623 1.583 5.041
B Na Sn
2 2 2
direct
0.039 0.914 0.086
0.042 0.403 0.597
0.720 0.627 0.373
0.269 0.461 0.539
0.610 0.935 0.065
0.969 0.247 0.753
```

Computed properties:
- density (Mg/m³) = 3.49
- space group = No. 8
- electronic total energy (eV per atom) = -3.824
- V (Å³/f.u.) = 73
- energy relative to the elements (meV per atom) = 176
- D(E_F) (states/eV/cell) = 2.015

# 8
Compound: BaCd3W
Source: Alexandria via LeMat-Bulk
Functional: PBE
Structure: optimized geometry

Geometry as POSCAR:
```
BaCd3W
1.0
-4.476 4.281 1.578
-4.068 -4.745 1.335
2.066 -0.069 6.048
Cd Ba W
3 1 1
direct
0.500 0.000 0.000
0.000 0.000 0.500
0.000 0.500 0.000
0.000 0.000 0.000
0.500 0.500 0.500
```

Computed properties:
- density (Mg/m³) = 4.19
- space group = No. 221
- electronic total energy (eV per atom) = -1.615
- polymorph energy (0 for the lowest one) (meV/atom) = 1352
- V (Å³/f.u.) = 261
- energy relative to the elements (meV per atom) = 1910
- D(E_F) (states/eV/cell) = 3.822

- Look up the density of the seventh one.
  3.49 Mg/m³

- Which value of density does entry 1 give?
  3.86 Mg/m³

- Which formula does entry 1 have?
  RbVHgS4